The following is a DFT calculation (SCAN) of a PBEsol-optimized structure of CrNi2Rh.

Results
E	-21.137	eV/atom
crystal system	orthorhombic

a = 2.555 Å, b = 3.517 Å, c = 5.053 Å
α = 90.00°, β = 90.00°, γ = 90.00°
Positions (direct):
Cr 0.000 0.000 0.000
Ni 0.000 0.000 0.472
Ni 0.500 0.500 0.244
Rh 0.500 0.500 0.746